(1)
VASP calculation (PBE) on an optimized crystal structure of ZnH2N.

```
data_ZnH2N
_chemical_formula_sum 'Zn4 H8 N4'
_symmetry_space_group_name_H-M 'I 41/a m d'
_symmetry_Int_Tables_number 141
_cell_length_a 4.396
_cell_length_b 4.396
_cell_length_c 6.193
_cell_angle_alpha 90.00
_cell_angle_beta 90.00
_cell_angle_gamma 90.00
loop_
_symmetry_equiv_pos_as_xyz
'x,y,z'
'-x,-y,-z'
'-y+1/4,x+3/4,z+1/4'
'y+1/4,-x+3/4,-z+1/4'
'-x+1/2,-y,z+1/2'
'x+1/2,y,-z+1/2'
'y+1/4,-x+1/4,z+3/4'
'-y+1/4,x+1/4,-z+3/4'
'x,-y,-z'
'-x,y,z'
'-y+1/4,-x+1/4,-z+3/4'
'y+1/4,x+1/4,z+3/4'
'-x+1/2,y,-z+1/2'
'x+1/2,-y,z+1/2'
'y+1/4,x+3/4,-z+1/4'
'-y+1/4,-x+3/4,z+1/4'
'x+1/2,y+1/2,z+1/2'
'-x+1/2,-y+1/2,-z+1/2'
'-y+3/4,x+1/4,z+3/4'
'y+3/4,-x+1/4,-z+3/4'
'-x,-y+1/2,z'
'x,y+1/2,-z'
'y+3/4,-x+3/4,z+1/4'
'-y+3/4,x+3/4,-z+1/4'
'x+1/2,-y+1/2,-z+1/2'
'-x+1/2,y+1/2,z+1/2'
'-y+3/4,-x+3/4,-z+1/4'
'y+3/4,x+3/4,z+1/4'
'-x,y+1/2,-z'
'x,-y+1/2,z'
'y+3/4,x+1/4,-z+3/4'
'-y+3/4,-x+1/4,z+3/4'
loop_
_atom_site_label
_atom_site_type_symbol
_atom_site_fract_x
_atom_site_fract_y
_atom_site_fract_z
Zn1 Zn 0.000 0.250 0.375
H1 H 0.000 0.000 0.000
N1 N 0.000 0.250 0.875
```

Values from the calculation:
VASP energy   -56.44 eV/cell
Offset from the most stable computed form   0.000 eV per atom
N(E_F)   0.2 states/eV/f.u.


(2)
VASP calculation (PBE) on an optimized crystal structure of ZnH2N.

```
data_ZnH2N
_chemical_formula_sum 'Zn4 H8 N4'
_symmetry_space_group_name_H-M 'F m -3 m'
_symmetry_Int_Tables_number 225
_symmetry_space_group_name_Hall '-F 4 2 3'
_cell_length_a 4.761
_cell_length_b 4.761
_cell_length_c 4.761
_cell_angle_alpha 90.00
_cell_angle_beta 90.00
_cell_angle_gamma 90.00
loop_
_atom_site_label
_atom_site_type_symbol
_atom_site_fract_x
_atom_site_fract_y
_atom_site_fract_z
Zn1 Zn 0.000 0.000 0.000
H1 H 0.250 0.250 0.250
N1 N 0.000 0.000 0.500
```

Values from the calculation:
VASP energy   -43.94 eV/cell
Offset from the most stable computed form   0.781 eV per atom
N(E_F)   1.6 states/eV/f.u.


(3)
VASP calculation (PBE) on an optimized crystal structure of ZnHN2.

```
data_ZnHN2
_chemical_formula_sum 'Zn3 H3 N6'
_symmetry_space_group_name_H-M 'R -3 m'
_symmetry_Int_Tables_number 166
_symmetry_space_group_name_Hall '-R 3 2"'
_cell_length_a 3.1426
_cell_length_b 3.1426
_cell_length_c 13.2451
_cell_angle_alpha 90.00
_cell_angle_beta 90.00
_cell_angle_gamma 120.00
loop_
_atom_site_label
_atom_site_type_symbol
_atom_site_fract_x
_atom_site_fract_y
_atom_site_fract_z
Zn1 Zn 0.0000 0.0000 0.0000
H1 H 0.0000 0.0000 0.5000
N1 N 0.0000 0.0000 0.4064
```

Values from the calculation:
VASP energy   -51.43 eV/cell
Offset from the most stable computed form   0.000 eV per atom
N(E_F)   1.9 states/eV/f.u.


(4)
VASP calculation (PBE) on an optimized crystal structure of ZnH2N.

```
data_ZnH2N
_chemical_formula_sum 'Zn3 H6 N3'
_symmetry_space_group_name_H-M 'R -3 m'
_symmetry_Int_Tables_number 166
_symmetry_space_group_name_Hall '-R 3 2"'
_cell_length_a 2.5670
_cell_length_b 2.5670
_cell_length_c 15.7041
_cell_angle_alpha 90.00
_cell_angle_beta 90.00
_cell_angle_gamma 120.00
loop_
_atom_site_label
_atom_site_type_symbol
_atom_site_fract_x
_atom_site_fract_y
_atom_site_fract_z
Zn1 Zn 0.0000 0.0000 0.0000
H1 H 0.0000 0.0000 0.1579
N1 N 0.0000 0.0000 0.5000
```

Values from the calculation:
VASP energy   -37.47 eV/cell
Offset from the most stable computed form   0.404 eV per atom
N(E_F)   1.6 states/eV/f.u.


(5)
VASP calculation (PBE) on an optimized crystal structure of ZnHN2.

```
data_ZnHN2
_chemical_formula_sum 'Zn4 H4 N8'
_symmetry_space_group_name_H-M 'F m -3 m'
_symmetry_Int_Tables_number 225
_symmetry_space_group_name_Hall '-F 4 2 3'
_cell_length_a 5.032
_cell_length_b 5.032
_cell_length_c 5.032
_cell_angle_alpha 90.00
_cell_angle_beta 90.00
_cell_angle_gamma 90.00
loop_
_atom_site_label
_atom_site_type_symbol
_atom_site_fract_x
_atom_site_fract_y
_atom_site_fract_z
Zn1 Zn 0.000 0.000 0.000
H1 H 0.000 0.000 0.500
N1 N 0.250 0.250 0.250
```

Values from the calculation:
VASP energy   -54.78 eV/cell
Offset from the most stable computed form   0.862 eV per atom
N(E_F)   2.3 states/eV/f.u.


(6)
VASP calculation (PBE) on an optimized crystal structure of ZnH4N2.

```
data_ZnH4N2
_chemical_formula_sum 'Zn32 H128 N64'
_symmetry_space_group_name_H-M 'I 41/a c d'
_symmetry_Int_Tables_number 142
_cell_length_a 10.296
_cell_length_b 10.296
_cell_length_c 19.954
_cell_angle_alpha 90.00
_cell_angle_beta 90.00
_cell_angle_gamma 90.00
loop_
_symmetry_equiv_pos_as_xyz
'x,y,z'
'-x,-y,-z'
'-y+1/4,x+3/4,z+1/4'
'y+1/4,-x+3/4,-z+1/4'
'-x+1/2,-y,z+1/2'
'x+1/2,y,-z+1/2'
'y+1/4,-x+1/4,z+3/4'
'-y+1/4,x+1/4,-z+3/4'
'x,-y,-z+1/2'
'-x,y,z+1/2'
'-y+1/4,-x+1/4,-z+1/4'
'y+1/4,x+1/4,z+1/4'
'-x+1/2,y,-z'
'x+1/2,-y,z'
'y+1/4,x+3/4,-z+3/4'
'-y+1/4,-x+3/4,z+3/4'
'x+1/2,y+1/2,z+1/2'
'-x+1/2,-y+1/2,-z+1/2'
'-y+3/4,x+1/4,z+3/4'
'y+3/4,-x+1/4,-z+3/4'
'-x,-y+1/2,z'
'x,y+1/2,-z'
'y+3/4,-x+3/4,z+1/4'
'-y+3/4,x+3/4,-z+1/4'
'x+1/2,-y+1/2,-z'
'-x+1/2,y+1/2,z'
'-y+3/4,-x+3/4,-z+3/4'
'y+3/4,x+3/4,z+3/4'
'-x,y+1/2,-z+1/2'
'x,-y+1/2,z+1/2'
'y+3/4,x+1/4,-z+1/4'
'-y+3/4,-x+1/4,z+1/4'
loop_
_atom_site_label
_atom_site_type_symbol
_atom_site_fract_x
_atom_site_fract_y
_atom_site_fract_z
Zn1 Zn 0.106 0.123 0.314
H1 H 0.033 0.042 0.097
H2 H 0.051 0.190 0.524
H3 H 0.079 0.031 0.653
H4 H 0.193 0.019 0.472
N1 N 0.000 0.250 0.258
N2 N 0.018 0.024 0.875
N3 N 0.208 0.000 0.250
```

Values from the calculation:
VASP energy   -1078.17 eV/cell
N(E_F)   0.0 states/eV/f.u.


(7)
VASP calculation (PBE) on an optimized crystal structure of Zn2HN.

```
data_Zn2HN
_chemical_formula_sum 'Zn4 H2 N2'
_symmetry_space_group_name_H-M 'C 1 m 1'
_symmetry_Int_Tables_number 8
_symmetry_space_group_name_Hall 'C -2y'
_cell_length_a 5.602
_cell_length_b 3.237
_cell_length_c 5.650
_cell_angle_alpha 90.00
_cell_angle_beta 109.28
_cell_angle_gamma 90.00
loop_
_atom_site_label
_atom_site_type_symbol
_atom_site_fract_x
_atom_site_fract_y
_atom_site_fract_z
Zn1 Zn 0.000 0.000 0.000
Zn2 Zn 0.208 0.000 0.623
H1 H 0.102 0.000 0.312
N1 N 0.104 0.500 0.812
```

Values from the calculation:
VASP energy   -27.34 eV/cell
Offset from the most stable computed form   0.000 eV per atom
N(E_F)   0.3 states/eV/f.u.


(8)
VASP calculation (PBE) on an optimized crystal structure of ZnHN2.

```
data_ZnHN2
_chemical_formula_sum 'Zn4 H4 N8'
_symmetry_space_group_name_H-M 'I -4 2 d'
_symmetry_Int_Tables_number 122
_symmetry_space_group_name_Hall 'I -4 2bw'
_cell_length_a 3.436
_cell_length_b 3.436
_cell_length_c 10.580
_cell_angle_alpha 90.00
_cell_angle_beta 90.00
_cell_angle_gamma 90.00
loop_
_atom_site_label
_atom_site_type_symbol
_atom_site_fract_x
_atom_site_fract_y
_atom_site_fract_z
Zn1 Zn 0.000 0.000 0.000
H1 H 0.000 0.000 0.500
N1 N 0.115 0.250 0.625
```

Values from the calculation:
VASP energy   -64.88 eV/cell
Offset from the most stable computed form   0.231 eV per atom
N(E_F)   0.3 states/eV/f.u.


Look up the N(E_F) of the seventh one. 0.3 states/eV/f.u.


Copy entry 2 word for word.
VASP calculation (PBE) on an optimized crystal structure of ZnH2N.

```
data_ZnH2N
_chemical_formula_sum 'Zn4 H8 N4'
_symmetry_space_group_name_H-M 'F m -3 m'
_symmetry_Int_Tables_number 225
_symmetry_space_group_name_Hall '-F 4 2 3'
_cell_length_a 4.761
_cell_length_b 4.761
_cell_length_c 4.761
_cell_angle_alpha 90.00
_cell_angle_beta 90.00
_cell_angle_gamma 90.00
loop_
_atom_site_label
_atom_site_type_symbol
_atom_site_fract_x
_atom_site_fract_y
_atom_site_fract_z
Zn1 Zn 0.000 0.000 0.000
H1 H 0.250 0.250 0.250
N1 N 0.000 0.000 0.500
```

Values from the calculation:
VASP energy   -43.94 eV/cell
Offset from the most stable computed form   0.781 eV per atom
N(E_F)   1.6 states/eV/f.u.


VASP energy of number 1 (ZnH2N)? -56.44 eV/cell


What is the formula in the second record? ZnH2N